A plane-wave DFT calculation with PBE was carried out for an optimized crystal structure of ZnIn.

Formation energy from the elements, eV/f.u.: 0.39
Size of the total moment, μB/f.u.: 0.0
E, eV for the cell shown: -14.47

a = 5.3136 Å, b = 5.3136 Å, c = 7.6589 Å
α = 90.00°, β = 90.00°, γ = 120.00°
Space group P6_3/mmc (No. 194)
One atom of each set of equivalent atoms:
1 Zn 0.3333 0.6667 0.0907 x4
2 In 0.0000 0.0000 0.2500 x2
3 In 0.3333 0.6667 0.7500 x2